Record 1
LiTaAg2, optimized geometry, DFT PBE-GGA; ρ = 9.6 g/cm³; ΔE_f = 0.742 eV/atom; energy = -4.125 eV per atom; total magnetization = 0.0 μB per formula unit
1.0
7.1076 0.0000 0.0000
0.0000 7.1076 0.0000
3.5538 3.5538 2.7693
Ag Li Ta
4 2 2
direct
0.3750 0.4147 0.7500
0.8750 0.8353 0.7500
0.5853 0.1250 0.2500
0.1647 0.6250 0.2500
0.2500 0.7500 0.5000
0.5000 0.5000 0.0000
0.7500 0.2500 0.5000
0.0000 0.0000 0.0000

Record 2
LiTaAg2, optimized geometry, DFT PBE-GGA; ρ = 9.5 g/cm³; ΔE_f = 0.183 eV/atom; energy = -4.684 eV per atom; total magnetization = 0.0 μB per formula unit
1.0
2.7862 -0.0163 0.0000
-1.0687 2.5731 0.0000
0.0000 0.0000 9.8175
Li Ta Ag
1 1 2
direct
0.0000 0.0000 0.4902
0.5000 0.5000 0.7498
0.5000 0.5000 0.2578
0.0000 0.0000 0.0022

Record 3
LiTaAg2, optimized geometry, DFT PBE-GGA; ρ = 9.6 g/cm³; ΔE_f = 0.335 eV/atom; energy = -4.532 eV per atom; total magnetization = 0.0 μB per formula unit
1.0
4.8170 -0.0041 0.0017
4.0531 2.6030 0.0017
0.5420 0.1588 5.5566
Ag Ta Li
2 1 1
direct
0.9993 0.9993 0.9933
0.5007 0.5007 0.5067
0.2500 0.2500 0.2500
0.7500 0.7500 0.7500

Record 4
LiTaAg2, optimized geometry, DFT PBE-GGA; ρ = 9.7 g/cm³; ΔE_f = 0.243 eV/atom; energy = -4.624 eV per atom; total magnetization = 0.0 μB per formula unit
1.0
5.0887 0.0011 -0.0043
4.3452 2.6484 -0.0043
0.5271 0.1480 5.1279
Ag Ta Li
2 1 1
direct
0.7471 0.7471 0.7147
0.0025 0.0025 0.0308
0.2560 0.2560 0.2153
0.4944 0.4944 0.5392